VASP calculation (PBE) on Ca2Ga5Pd2Pt after structural relaxation.

abc: 9.7542 9.7542 3.9629
angles: 90.00 90.00 90.00
Fractional coordinates of all 20 atoms:
1 Ca 0.1851 0.3149 0.0000
2 Ca 0.3149 0.8149 0.0000
3 Ca 0.6851 0.1851 0.0000
4 Ca 0.8149 0.6851 0.0000
5 Ga 0.0000 0.5000 0.5000
6 Ga 0.0499 0.8077 0.5000
7 Ga 0.1923 0.0499 0.5000
8 Ga 0.3077 0.5499 0.5000
9 Ga 0.4501 0.3077 0.5000
10 Ga 0.5000 0.0000 0.5000
11 Ga 0.5499 0.6923 0.5000
12 Ga 0.6923 0.4501 0.5000
13 Ga 0.8077 0.9501 0.5000
14 Ga 0.9501 0.1923 0.5000
15 Pd 0.1125 0.6125 0.0000
16 Pd 0.3875 0.1125 0.0000
17 Pd 0.6125 0.8875 0.0000
18 Pd 0.8875 0.3875 0.0000
19 Pt 0.0000 0.0000 0.0000
20 Pt 0.5000 0.5000 0.0000

Values from the calculation:
Formation energy from the elements (kJ/mol of atoms): -52.9